[1]
VASP calculation (GGA-PBE) on LaCd2As after structural relaxation.

Summary:
Calculated formation energy   -578 meV/atom
ρ   6.9 g cm⁻³
Crystal system   monoclinic

abc: 4.072 4.255 6.501
angles: 70.61 90.00 90.00
Atoms (fractional coordinates):
Cd: 0.000 0.792 0.041
La: 0.000 0.525 0.578
As: 0.500 0.970 0.685
Cd: 0.500 0.214 0.196


[2]
VASP calculation (GGA-PBE) on LaCdAs4 after structural relaxation.

Summary:
Calculated formation energy   -258 meV/atom
ρ   6.8 g cm⁻³
Crystal system   cubic

abc: 5.762 5.762 5.762
angles: 60.00 60.00 60.00
Atoms (fractional coordinates):
As: 0.863 0.379 0.379
As: 0.379 0.379 0.863
La: 0.000 0.000 0.000
Cd: 0.750 0.750 0.750
As: 0.379 0.863 0.379
As: 0.379 0.379 0.379


[3]
VASP calculation (GGA-PBE) on LaCdAs2 after structural relaxation.

Summary:
Calculated formation energy   -506 meV/atom
ρ   6.6 g cm⁻³
Crystal system   orthorhombic

abc: 3.799 3.799 7.264
angles: 90.00 90.00 106.31
Atoms (fractional coordinates):
La: 0.500 0.500 0.750
Cd: 0.500 0.500 0.250
As: 0.000 0.000 0.009
As: 0.000 0.000 0.491


[4]
VASP calculation (GGA-PBE) on La2CdAs after structural relaxation.

Summary:
Calculated formation energy   -685 meV/atom
ρ   6.0 g cm⁻³
Crystal system   tetragonal

abc: 4.488 4.488 6.357
angles: 90.00 90.00 89.99
Atoms (fractional coordinates):
As: 0.000 0.000 0.375
La: 0.000 0.000 0.875
La: 0.500 0.500 0.375
Cd: 0.500 0.500 0.875


[5]
VASP calculation (GGA-PBE) on LaCdAs after structural relaxation.

Summary:
Calculated formation energy   -718 meV/atom
ρ   6.5 g cm⁻³
Crystal system   trigonal

abc: 4.435 4.435 4.928
angles: 90.00 90.00 120.00
Atoms (fractional coordinates):
Cd: 0.333 0.667 0.273
As: 0.000 0.000 0.031
La: 0.667 0.333 0.696


[6]
VASP calculation (GGA-PBE) on LaCdAs2 after structural relaxation.

Summary:
Calculated formation energy   -623 meV/atom
ρ   6.5 g cm⁻³
Crystal system   monoclinic

abc: 4.465 4.465 6.546
angles: 69.54 69.54 59.76
Atoms (fractional coordinates):
Cd: 0.750 0.750 0.750
La: 0.250 0.250 0.250
As: 0.008 0.008 0.984
As: 0.492 0.492 0.516


[7]
VASP calculation (GGA-PBE) on La3CdAs after structural relaxation.

Summary:
Calculated formation energy   -453 meV/atom
ρ   5.3 g cm⁻³
Crystal system   cubic

abc: 5.730 5.730 5.730
angles: 90.00 90.00 90.00
Atoms (fractional coordinates):
La: 0.500 0.000 0.000
La: 0.000 0.500 0.000
As: 0.000 0.000 0.000
Cd: 0.500 0.500 0.500
La: 0.000 0.000 0.500


[8]
VASP calculation (GGA-PBE) on La2CdAs after structural relaxation.

Summary:
Calculated formation energy   -769 meV/atom
ρ   6.6 g cm⁻³
Crystal system   orthorhombic

abc: 6.322 6.322 4.401
angles: 90.03 90.03 41.61
Last column: magnetic moment on the atom in μB.
Atoms (fractional coordinates):
As: 0.462 0.462 0.625  -0.01
La: 0.013 0.013 0.126  0.11
Cd: 0.296 0.296 0.125  0.01
La: 0.728 0.728 0.625  0.12


[9]
VASP calculation (GGA-PBE) on La2CdAs after structural relaxation.

Summary:
Calculated formation energy   -668 meV/atom
ρ   6.9 g cm⁻³
Crystal system   orthorhombic

abc: 6.404 6.404 6.404
angles: 142.78 134.95 59.82
Atoms (fractional coordinates):
La: 0.999 0.999 0.000
Cd: 0.286 0.786 0.500
La: 0.726 0.226 0.500
As: 0.489 0.489 0.000


[10]
VASP calculation (GGA-PBE) on La2CdAs after structural relaxation.

Summary:
Calculated formation energy   -746 meV/atom
ρ   7.0 g cm⁻³
Crystal system   tetragonal

abc: 5.223 5.223 4.052
angles: 90.01 90.01 89.99
Atoms (fractional coordinates):
Cd: 0.000 0.500 0.500
La: 0.500 0.500 0.000
La: 0.000 0.000 0.000
As: 0.500 0.000 0.500


[11]
VASP calculation (GGA-PBE) on LaCdAs after structural relaxation.

Summary:
Calculated formation energy   -499 meV/atom
ρ   5.7 g cm⁻³
Crystal system   cubic

abc: 5.112 5.112 5.112
angles: 60.00 60.00 60.00
Atoms (fractional coordinates):
La: 0.750 0.750 0.750
As: 0.000 0.000 0.000
Cd: 0.500 0.500 0.500


[12]
VASP calculation (GGA-PBE) on LaCd3As after structural relaxation.

Summary:
Calculated formation energy   147 meV/atom
ρ   6.3 g cm⁻³
Crystal system   cubic

abc: 5.269 5.269 5.269
angles: 90.00 90.00 90.00
Atoms (fractional coordinates):
As: 0.000 0.000 0.000
La: 0.500 0.500 0.500
Cd: 0.000 0.000 0.500
Cd: 0.000 0.500 0.000
Cd: 0.500 0.000 0.000